(1)
Density functional theory data (meta-GGA SCAN) for Cu2H2Rh at its PBEsol-relaxed geometry.

The structure belongs to space group P4/mbm (No. 127); the cell edges are 4.896, 4.896 and 3.776 Å and the angles 90.00°, 90.00° and 90.00°. The asymmetric unit holds Cu at (0.189, 0.311, 0.000), H at (0.193, 0.307, 0.500) and Rh at (0.000, 0.000, 0.500).


(2)
Density functional theory data (meta-GGA SCAN) for CuH2Rh at its PBEsol-relaxed geometry.

The structure belongs to space group I-42d (No. 122); the cell edges are 3.927, 3.927 and 8.414 Å and the angles 90.00°, 90.00° and 90.00°. The asymmetric unit holds Cu at (0.000, 0.000, 0.000), H at (0.245, 0.250, 0.625) and Rh at (0.000, 0.000, 0.500).


(3)
Density functional theory data (meta-GGA SCAN) for Cu2TcHRh at its PBEsol-relaxed geometry.

The structure belongs to space group P4/mmm (No. 123); the cell edges are 4.603, 4.603 and 4.508 Å and the angles 90.00°, 90.00° and 90.00°. The asymmetric unit holds Cu at (0.000, 0.500, 0.000), Tc at (0.000, 0.000, 0.500), H at (0.500, 0.500, 0.500) and Rh at (0.000, 0.000, 0.000).


(4)
Density functional theory data (meta-GGA SCAN) for CuHS2 at its PBEsol-relaxed geometry.

The structure belongs to space group R-3m (No. 166, hexagonal axes); the cell edges are 2.8720, 2.8720 and 20.5851 Å and the angles 90.00°, 90.00° and 120.00°. The asymmetric unit holds Cu at (0.0000, 0.0000, 0.0000), H at (0.0000, 0.0000, 0.5000) and S at (0.0000, 0.0000, 0.1039).


(5)
Density functional theory data (meta-GGA SCAN) for CuSb3H at its PBEsol-relaxed geometry.

The structure belongs to space group Pm-3m (No. 221); the cell edges are 4.574, 4.574 and 4.574 Å and the angles 90.00°, 90.00° and 90.00°. The asymmetric unit holds Cu at (0.000, 0.000, 0.000), Sb at (0.000, 0.500, 0.500) and H at (0.500, 0.500, 0.500).


(6)
Density functional theory data (meta-GGA SCAN) for Cu2SbH at its PBEsol-relaxed geometry.

The structure belongs to space group Fm-3m (No. 225); the cell edges are 6.004, 6.004 and 6.004 Å and the angles 90.00°, 90.00° and 90.00°. The asymmetric unit holds Cu at (0.250, 0.250, 0.250), Sb at (0.000, 0.000, 0.000) and H at (0.000, 0.000, 0.500).


Number 1: E_tot -14.19 eV per atom. Number 2: E_tot -13.91 eV per atom. Number 3: E_tot -18.79 eV per atom. Number 4: E_tot -8.71 eV per atom. Number 5: E_tot -25.39 eV per atom. Number 6: E_tot -17.13 eV per atom.